Computed, not measured: a relaxed structure of RbAgHg at the PBE level of DFT.

- mass density (g cm⁻³) = 5.93
- space group = No. 2
- energy relative to the elements (eV/atom) = -0.069
- calculated total energy (eV/cell) = -8.7

Lattice parameters (Å, degrees): 5.463 7.107 7.136 63.03 67.57 67.47
Element x y z (fractional)
Rb (0.000, 0.000, 0.000)
Rb (0.500, 0.500, 0.500)
Ag (0.000, 0.000, 0.500)
Ag (0.500, 0.000, 0.500)
Hg (0.251, 0.361, 0.137)
Hg (0.749, 0.639, 0.863)